# CeSi3Rh

Crystalline CeSi3Rh at its relaxed geometry (GGA-PBEsol, Alexandria).

a = 4.1755 Å, b = 4.1755 Å, c = 5.6644 Å
α = 111.64°, β = 111.64°, γ = 89.99°
Element x y z (fractional)
1 Si 0.5831 0.5831 0.1662
2 Si 0.7331 0.2330 0.4661
3 Si 0.2330 0.7331 0.4661
4 Ce 0.9995 0.9995 0.9990
5 Rh 0.3424 0.3424 0.6847

- Total DFT energy (no corrections): -7.2666 eV/atom
- Raw formation energy: -872 meV per atom
- Size of the total moment: 0.19 μB per cell
- Volume: 84.27 Å³/f.u.

# Mn2HI

Crystalline Mn2HI at its relaxed geometry (GGA-PBEsol, Alexandria).

a = 5.0208 Å, b = 5.0208 Å, c = 6.1643 Å
α = 114.03°, β = 114.03°, γ = 90.00°
Element x y z (fractional)
1 Mn 0.5829 0.8750 0.2500
2 Mn 0.6671 0.3750 0.2500
3 Mn 0.6250 0.4171 0.7500
4 Mn 0.1250 0.3329 0.7500
5 I 0.0000 0.0000 0.0000
6 I 0.2500 0.7500 0.5000
7 H 0.5000 0.5000 0.0000
8 H 0.7500 0.2500 0.5000

- Total DFT energy (no corrections): -5.6379 eV/atom
- Size of the total moment: 15.25 μB per cell
- Volume: 63.51 Å³/f.u.

# Ba2CaCu2

Crystalline Ba2CaCu2 at its relaxed geometry (GGA-PBEsol, Alexandria).

a = 4.6349 Å, b = 8.2365 Å, c = 8.2365 Å
α = 90.00°, β = 90.00°, γ = 90.00°
Element x y z (fractional)
1 Cu 0.0000 0.6082 0.1082
2 Cu 0.0000 0.3918 0.8918
3 Cu 0.0000 0.8918 0.6082
4 Cu 0.0000 0.1082 0.3918
5 Ca 0.0000 0.0000 0.0000
6 Ca 0.0000 0.5000 0.5000
7 Ba 0.5000 0.6725 0.8275
8 Ba 0.5000 0.8275 0.3275
9 Ba 0.5000 0.3275 0.1725
10 Ba 0.5000 0.1725 0.6725

- Total DFT energy (no corrections): -2.9751 eV/atom
- Size of the total moment: 0.00 μB per cell
- Volume: 157.22 Å³/f.u.

# ScIn2P

Crystalline ScIn2P at its relaxed geometry (GGA-PBEsol, Alexandria).

a = 3.6177 Å, b = 3.6493 Å, c = 7.3760 Å
α = 104.32°, β = 104.20°, γ = 90.00°
Element x y z (fractional)
1 In 0.8150 0.8150 0.6301
2 In 0.1850 0.1850 0.3699
3 Sc 0.5000 0.0000 0.0000
4 P 0.0000 0.5000 0.0000

- Total DFT energy (no corrections): -5.0387 eV/atom
- Size of the total moment: 0.00 μB per cell
- Volume: 91.28 Å³/f.u.

# SrRuSe2

Crystalline SrRuSe2 at its relaxed geometry (GGA-PBEsol, Alexandria).

a = 3.3287 Å, b = 3.3287 Å, c = 7.0446 Å
α = 90.00°, β = 90.00°, γ = 90.00°
Element x y z (fractional)
1 Sr 0.5000 0.5000 0.0000
2 Se 0.0000 0.0000 0.2957
3 Se 0.0000 0.0000 0.7043
4 Ru 0.5000 0.5000 0.5000

- Total DFT energy (no corrections): -5.2309 eV/atom
- Polymorph energy (0 for the lowest one): 0.0713 eV per atom
- Raw formation energy: -303 meV per atom
- Size of the total moment: 0.00 μB per cell
- Volume: 78.06 Å³/f.u.

# Si2Tc

Crystalline Si2Tc at its relaxed geometry (GGA-PBEsol, Alexandria).

a = 3.1324 Å, b = 4.1813 Å, c = 6.1118 Å
α = 90.00°, β = 104.85°, γ = 90.00°
Element x y z (fractional)
1 Tc 0.0975 0.7500 0.1951
2 Tc 0.9025 0.2500 0.8049
3 Si 0.2333 0.2500 0.4666
4 Si 0.5683 0.2500 0.1367
5 Si 0.4317 0.7500 0.8633
6 Si 0.7667 0.7500 0.5334

- Total DFT energy (no corrections): -7.9482 eV/atom
- Polymorph energy (0 for the lowest one): 0.0000 eV per atom
- Raw formation energy: -362 meV per atom
- Size of the total moment: 0.00 μB per cell
- Volume: 38.69 Å³/f.u.

Question: Look up the total DFT energy (no corrections) of the second one.
Answer: -5.6379 eV/atom